# 1
Material: TbHo2TeO8
Method: DFT, PBE
State: optimized geometry

Output
The density of states at the Fermi level is 0.61 states/eV per atom.

Lattice parameters (Å, degrees): 5.015 6.876 5.020 90.00 90.78 90.00
Element x y z (fractional)
Tb 0.000 0.000 0.000
Ho 0.500 0.253 0.500
Ho 0.500 0.747 0.500
Te 0.000 0.500 0.000
O 0.183 0.288 0.816
O 0.183 0.712 0.816
O 0.277 0.500 0.276
O 0.312 0.000 0.311
O 0.688 0.000 0.689
O 0.723 0.500 0.724
O 0.817 0.288 0.184
O 0.817 0.712 0.184

---

# 2
Material: TbHoTe2O8
Method: DFT, PBE
State: optimized geometry

Output
The density of states at the Fermi level is 0.16 states/eV per atom.

Lattice parameters (Å, degrees): 6.233 6.233 6.233 107.62 107.62 113.24
Element x y z (fractional)
Tb 0.000 0.000 0.000
Ho 0.250 0.750 0.500
Te 0.500 0.500 0.000
Te 0.750 0.250 0.500
O 0.298 0.111 0.813
O 0.298 0.485 0.187
O 0.363 0.048 0.315
O 0.515 0.702 0.813
O 0.732 0.048 0.685
O 0.889 0.702 0.187
O 0.952 0.268 0.315
O 0.952 0.637 0.685

---

# 3
Material: TbHoTe2O
Method: DFT, PBE
State: optimized geometry

Output
The density of states at the Fermi level is 0.29 states/eV per atom.

Lattice parameters (Å, degrees): 4.126 4.126 15.771 90.00 90.00 90.00
Element x y z (fractional)
Tb 0.250 0.250 0.066
Tb 0.750 0.750 0.934
Ho 0.250 0.250 0.634
Ho 0.750 0.750 0.366
Te 0.250 0.250 0.417
Te 0.250 0.250 0.815
Te 0.750 0.750 0.185
Te 0.750 0.750 0.583
O 0.250 0.750 0.000
O 0.750 0.250 0.000

---

# 4
Material: Tb3HoTl2O
Method: DFT, PBE
State: optimized geometry

Output
The density of states at the Fermi level is 0.33 states/eV per atom.

Lattice parameters (Å, degrees): 8.874 8.874 8.874 149.78 149.50 43.47
Element x y z (fractional)
Tb 0.000 0.000 0.000
Tb 0.329 0.829 0.500
Tb 0.671 0.171 0.500
Ho 0.500 0.500 0.000
Tl 0.139 0.639 0.500
Tl 0.861 0.361 0.500
O 0.500 0.000 0.500

---

# 5
Material: Tb4Ho2Tl3O2
Method: DFT, PBE
State: optimized geometry

Output
The density of states at the Fermi level is 0.49 states/eV per atom.

Lattice parameters (Å, degrees): 12.840 12.840 12.840 158.89 158.89 30.03
Element x y z (fractional)
Tb 0.086 0.586 0.500
Tb 0.414 0.914 0.500
Tb 0.586 0.086 0.500
Tb 0.914 0.414 0.500
Ho 0.197 0.197 0.000
Ho 0.803 0.803 0.000
Tl 0.323 0.323 0.000
Tl 0.500 0.500 0.000
Tl 0.677 0.677 0.000
O 0.103 0.103 0.000
O 0.897 0.897 0.000

---

# 6
Material: TbHo2TmO6
Method: DFT, PBE
State: optimized geometry

Output
The density of states at the Fermi level is 0.00 states/eV per atom.

Lattice parameters (Å, degrees): 6.041 6.041 6.041 57.14 57.14 57.14
Element x y z (fractional)
Tb 0.000 0.000 0.000
Ho 0.281 0.281 0.281
Ho 0.783 0.783 0.783
Tm 0.497 0.497 0.497
O 0.099 0.679 0.395
O 0.187 0.596 0.886
O 0.395 0.099 0.679
O 0.596 0.886 0.187
O 0.679 0.395 0.099
O 0.886 0.187 0.596

---

# 7
Material: TbHo2UO8
Method: DFT, PBE
State: optimized geometry

Output
The density of states at the Fermi level is 0.68 states/eV per atom.

Lattice parameters (Å, degrees): 3.860 5.310 7.530 90.00 90.00 90.00
Element x y z (fractional)
Tb 0.000 0.000 0.000
Ho 0.500 0.500 0.250
Ho 0.500 0.500 0.750
U 0.000 0.000 0.500
O 0.000 0.243 0.272
O 0.000 0.243 0.728
O 0.000 0.757 0.272
O 0.000 0.757 0.728
O 0.500 0.233 0.500
O 0.500 0.254 0.000
O 0.500 0.746 0.000
O 0.500 0.767 0.500

---

Number 1: V 173 Å³/cell, uncorrected formation energy -2524 meV/atom. Number 2: V 186 Å³/cell, uncorrected formation energy -1952 meV/atom. Number 3: V 268 Å³/cell, uncorrected formation energy -2068 meV/atom. Number 4: V 178 Å³/cell, uncorrected formation energy -1063 meV/atom. Number 5: V 274 Å³/cell, uncorrected formation energy -1239 meV/atom. Number 6: V 146 Å³/cell, uncorrected formation energy -3566 meV/atom. Number 7: V 154 Å³/cell, uncorrected formation energy -3290 meV/atom.